(1)
An optimized crystal structure of Ac2AgRh. Source: Alexandria, functional PBE.

```
Ac2AgRh
1.0
2.165 1.250 7.867
-2.165 1.250 7.867
0.000 -2.500 7.867
Ac Ag Rh
2 1 1
direct
0.000 0.000 0.000
0.193 0.193 0.193
0.763 0.763 0.763
0.597 0.597 0.597
```

## Properties
- V: 31.9 Å³/atom
- Energy relative to the elements: -0.479 eV per atom
- Total magnetic moment: 0.000 μB/atom


(2)
An optimized crystal structure of CaPr2AlO. Source: Alexandria, functional PBE.

```
CaPr2AlO
1.0
5.017 0.000 0.000
0.000 5.017 0.000
0.000 0.000 4.763
Ca Pr Al O
1 2 1 1
direct
0.000 0.000 0.000
0.000 0.500 0.500
0.500 0.000 0.500
0.500 0.500 0.000
0.000 0.000 0.500
```

## Properties
- V: 24.0 Å³/atom
- Formation energy (no corrections): -6.4 eV per formula unit
- Total magnetic moment: 0.000 μB/atom


(3)
An optimized crystal structure of EuDyHoAl. Source: Alexandria, functional PBE.

```
EuDyHoAl
1.0
0.000 3.812 3.812
3.812 0.000 3.812
3.812 3.812 0.000
Eu Dy Ho Al
1 1 1 1
direct
0.000 0.000 0.000
0.250 0.250 0.250
0.750 0.750 0.750
0.500 0.500 0.500
```

## Properties
- V: 27.7 Å³/atom
- Energy relative to the elements: -0.024 eV per atom
- Total magnetic moment: 1.837 μB/atom


(4)
An optimized crystal structure of YMgAl4. Source: Alexandria, functional PBE.

```
YMgAl4
1.0
5.542 0.000 0.000
-2.771 4.800 0.000
0.000 0.000 8.810
Y Mg Al
2 2 8
direct
0.333 0.667 0.070
0.667 0.333 0.930
0.333 0.667 0.443
0.667 0.333 0.557
0.000 0.000 0.000
0.000 0.000 0.500
0.171 0.342 0.748
0.171 0.829 0.748
0.342 0.171 0.252
0.658 0.829 0.748
0.829 0.171 0.252
0.829 0.658 0.252
```

## Properties
- V: 19.5 Å³/atom
- Energy relative to the lowest polymorph listed for this composition: 0 meV/atom
- Energy relative to the elements: -0.269 eV per atom
- Total magnetic moment: 0.000 μB/atom


(5)
An optimized crystal structure of LaRh3. Source: Alexandria, functional PBE.

```
LaRh3
1.0
4.534 2.618 0.996
-4.534 2.618 0.996
0.000 -5.235 0.996
La Rh
1 3
direct
0.000 0.000 0.000
0.000 0.500 0.500
0.500 0.000 0.500
0.500 0.500 0.000
```

## Properties
- V: 17.7 Å³/atom
- Energy relative to the elements: -0.122 eV per atom
- Total magnetic moment: 0.000 μB/atom


(6)
An optimized crystal structure of Pm2CdSb. Source: Alexandria, functional PBE.

```
Pm2CdSb
1.0
4.022 0.000 0.000
0.000 4.022 0.000
0.000 0.000 6.997
Pm Cd Sb
2 1 1
direct
0.000 0.000 0.244
0.000 0.000 0.756
0.500 0.500 0.500
0.500 0.500 0.000
```

## Properties
- V: 28.3 Å³/atom
- Energy relative to the lowest polymorph listed for this composition: 0 meV/atom
- Formation energy (no corrections): -2.7 eV per formula unit
- Total magnetic moment: 0.076 μB/atom


(7)
An optimized crystal structure of PuGeN3. Source: Alexandria, functional PBE.

```
PuGeN3
1.0
1.666 -6.525 0.000
1.666 6.525 0.000
0.000 0.000 5.820
Pu Ge N
2 2 6
direct
0.180 0.820 0.750
0.820 0.180 0.250
0.431 0.569 0.750
0.569 0.431 0.250
0.005 0.995 0.750
0.337 0.663 0.505
0.337 0.663 0.995
0.663 0.337 0.005
0.663 0.337 0.495
0.995 0.005 0.250
```

## Properties
- V: 12.6 Å³/atom
- Formation energy (no corrections): -1.7 eV per formula unit
- Total magnetic moment: 0.600 μB/atom


(8)
An optimized crystal structure of Zr2In2Se7. Source: Alexandria, functional PBE.

```
Zr2In2Se7
1.0
4.150 -5.872 0.000
4.150 5.872 0.000
-1.652 0.000 7.098
Zr In Se
2 2 7
direct
0.174 0.826 0.000
0.826 0.174 0.000
0.250 0.250 0.641
0.750 0.750 0.359
0.043 0.449 0.800
0.063 0.063 0.249
0.449 0.043 0.800
0.500 0.500 0.500
0.551 0.957 0.200
0.937 0.937 0.751
0.957 0.551 0.200
```

## Properties
- V: 31.5 Å³/atom
- Formation energy (no corrections): -8.0 eV per formula unit
- Total magnetic moment: 0.000 μB/atom


Which value of total magnetic moment does entry 4 give?
0.000 μB/atom


V of number 7 (PuGeN3)?
12.6 Å³/atom


Repeat the second record exactly.
An optimized crystal structure of CaPr2AlO. Source: Alexandria, functional PBE.

```
CaPr2AlO
1.0
5.017 0.000 0.000
0.000 5.017 0.000
0.000 0.000 4.763
Ca Pr Al O
1 2 1 1
direct
0.000 0.000 0.000
0.000 0.500 0.500
0.500 0.000 0.500
0.500 0.500 0.000
0.000 0.000 0.500
```

## Properties
- V: 24.0 Å³/atom
- Formation energy (no corrections): -6.4 eV per formula unit
- Total magnetic moment: 0.000 μB/atom